# 1
# AcNp2P4Pd

A relaxed AcNp2P4Pd crystal (PBE, Alexandria via LeMat-Bulk).

DFT formation energy = -0.897 eV per atom
ρ = 8.6 g/cm3
Uncorrected energy = -127.99 eV/cell
Space group = Cmcm
Crystal system = orthorhombic

Lattice parameters (Å, degrees): 6.9015 6.9015 13.4277 90.00 90.00 145.66
With the nearest neighbours (Å) after each atom.
Fractional positions:
Ac: 0.1129 0.8871 0.7500  6 P 3.05-3.24
Ac: 0.8871 0.1129 0.2500  6 P 3.05-3.24
Np: 0.3707 0.6293 0.5583  6 P 2.66-2.77
Np: 0.3707 0.6293 0.9417  6 P 2.66-2.77
Np: 0.6293 0.3707 0.0583  6 P 2.66-2.77
Np: 0.6293 0.3707 0.4417  6 P 2.66-2.77
P: 0.0000 0.0000 0.0000  4 Np 2.77
P: 0.0000 0.0000 0.5000  4 Np 2.77
P: 0.2622 0.7378 0.1084  1 Pd 2.37
P: 0.2622 0.7378 0.3916  1 Pd 2.37
P: 0.4407 0.5593 0.7500  2 Pd 2.39
P: 0.5593 0.4407 0.2500  2 Pd 2.39
P: 0.7378 0.2622 0.6084  1 Pd 2.37
P: 0.7378 0.2622 0.8916  1 Pd 2.37
Pd: 0.1547 0.8453 0.2500  4 P 2.37-2.39
Pd: 0.8453 0.1547 0.7500  4 P 2.37-2.39

# 2
# BeIr2Os

A relaxed BeIr2Os crystal (PBE, Alexandria via LeMat-Bulk).

DFT formation energy = 0.010 eV per atom
ρ = 18.1 g/cm3
Uncorrected energy = -32.64 eV/cell
Space group = I4/mmm
Crystal system = tetragonal

Lattice parameters (Å, degrees): 4.6111 4.6111 4.6111 131.69 131.69 70.72
With the nearest neighbours (Å) after each atom.
Fractional positions:
Be: 0.0000 0.0000 0.0000  8 Ir 2.66, 4 Os 2.67
Ir: 0.2500 0.7500 0.5000  4 Os 2.66, 4 Be 2.66, 4 Ir 2.67
Ir: 0.7500 0.2500 0.5000  4 Os 2.66, 4 Be 2.66, 4 Ir 2.67
Os: 0.5000 0.5000 0.0000  8 Ir 2.66, 4 Be 2.67